# 1
Crystalline DyHSe at its relaxed geometry, computed with PBE.

Cell: 3.8636 7.7808 8.6869 Å, 26.41 116.39 119.75°
Sites, in units of the cell vectors:
1 Dy 0.4482 0.9483 0.7501
2 Dy 0.5518 0.0517 0.2499
3 H 0.7496 0.7502 0.7500
4 H 0.2504 0.2498 0.2500
5 Se 0.9058 0.4055 0.7501
6 Se 0.0942 0.5945 0.2499

Summary:
DFT total energy ... -31.01 eV per cell
Total magnetization ... 0.0 Bohr magnetons per cell
Fermi-level density of states ... 0.02 states/eV/cell
Symmetry ... No. 129

# 2
Crystalline Sr2ZrN2Cl2 at its relaxed geometry, computed with PBE.

Cell: 4.3621 4.3621 8.1814 Å, 105.46 105.46 90.00°
Sites, in units of the cell vectors:
1 Sr 0.3928 0.3928 0.7856
2 Sr 0.6072 0.6072 0.2144
3 Zr 0.0000 0.0000 0.0000
4 N 0.0000 0.5000 0.0000
5 N 0.5000 0.0000 0.0000
6 Cl 0.1797 0.1797 0.3593
7 Cl 0.8203 0.8203 0.6407

Summary:
Formation energy (no corrections) ... -1.66 eV per atom
DFT total energy ... -43.90 eV per cell
Total magnetization ... 0.0 Bohr magnetons per cell
Symmetry ... No. 139

# 3
Crystalline CaTeS3 at its relaxed geometry, computed with PBE.

Cell: 5.1735 5.1735 5.1735 Å, 90.00 90.00 90.00°
Sites, in units of the cell vectors:
1 Ca 0.0000 0.0000 0.0000
2 Te 0.5000 0.5000 0.5000
3 S 0.0000 0.5000 0.0000
4 S 0.0000 0.0000 0.5000
5 S 0.5000 0.0000 0.0000

Summary:
Formation energy (no corrections) ... 0.30 eV per atom
DFT total energy ... -16.01 eV per cell
Total magnetization ... 0.0 Bohr magnetons per cell
Fermi-level density of states ... 10.21 states/eV/cell
Symmetry ... No. 221
E above lowest polymorph ... 726.2 meV/atom

# 4
Crystalline Pr2Y8Th at its relaxed geometry, computed with PBE.

Cell: 5.1007 8.0472 9.5360 Å, 104.54 105.51 90.00°
Sites, in units of the cell vectors:
1 Pr 0.2278 0.6351 0.4556
2 Pr 0.7722 0.3649 0.5444
3 Y 0.5892 0.4496 0.1783
4 Y 0.3205 0.0925 0.6410
5 Y 0.1339 0.1765 0.2677
6 Y 0.0441 0.7329 0.0882
7 Y 0.8661 0.8235 0.7323
8 Y 0.6795 0.9075 0.3590
9 Y 0.4108 0.5504 0.8217
10 Y 0.9559 0.2671 0.9118
11 Th 0.5000 0.0000 0.0000

Summary:
DFT total energy ... -68.38 eV per cell
Total magnetization ... 0.0 Bohr magnetons per cell
Fermi-level density of states ... 17.92 states/eV/cell
Calculated formation energy ... 0.3 eV/f.u.
Symmetry ... No. 12
E above lowest polymorph ... 0.0 meV/atom

# 5
Crystalline SrScB at its relaxed geometry, computed with PBE.

Cell: 10.9796 4.5911 3.3024 Å, 68.84 89.08 87.23°
Sites, in units of the cell vectors:
1 Sc 0.0160 0.3917 0.6493
2 Sc 0.8286 0.8520 0.9285
3 Sr 0.2665 0.8840 0.3913
4 Sr 0.5794 0.3559 0.1909
5 B 0.8035 0.4155 0.6483
6 B 0.8455 0.2996 0.2041

Summary:
DFT total energy ... -29.62 eV per cell
Total magnetization ... 0.0 Bohr magnetons per cell
Fermi-level density of states ... 4.09 states/eV/cell
Calculated formation energy ... -0.1 eV/f.u.
Symmetry ... No. 1
E above lowest polymorph ... 95.2 meV/atom

# 6
Crystalline LiNpZn2Ga4 at its relaxed geometry, computed with PBE.

Cell: 4.4920 4.4920 8.4649 Å, 74.61 74.61 60.00°
Sites, in units of the cell vectors:
1 Li 0.5000 0.5000 0.5000
2 Np 0.0000 0.0000 0.0000
3 Zn 0.7540 0.7540 0.7380
4 Zn 0.2460 0.2460 0.2620
5 Ga 0.3890 0.3890 0.8329
6 Ga 0.8706 0.8706 0.3882
7 Ga 0.1294 0.1294 0.6118
8 Ga 0.6110 0.6110 0.1671

Summary:
DFT total energy ... -30.23 eV per cell
Total magnetization ... 4.0 Bohr magnetons per cell
Fermi-level density of states ... 10.89 states/eV/cell
Calculated formation energy ... -0.7 eV/f.u.
Symmetry ... No. 166

# 7
Crystalline InTcHg2 at its relaxed geometry, computed with PBE.

Cell: 4.2080 4.2073 4.3972 Å, 90.00 90.00 90.00°
Sites, in units of the cell vectors:
1 Hg 0.0000 0.0000 0.0000
2 Hg 0.5000 0.5000 0.0000
3 In 0.5000 0.0000 0.5000
4 Tc 0.0000 0.5000 0.5000

Summary:
DFT total energy ... -11.85 eV per cell
Total magnetization ... 0.2 Bohr magnetons per cell
Fermi-level density of states ... 3.16 states/eV/cell
Calculated formation energy ... 1.9 eV/f.u.
Symmetry ... No. 123

# 8
Crystalline Ti2In2Fe at its relaxed geometry, computed with PBE.

Cell: 3.8167 3.8167 7.4096 Å, 75.07 75.07 90.00°
Sites, in units of the cell vectors:
1 Ti 0.4182 0.4182 0.1636
2 Ti 0.5818 0.5818 0.8364
3 Fe 0.0000 0.0000 0.0000
4 In 0.7500 0.2500 0.5000
5 In 0.2500 0.7500 0.5000

Summary:
DFT total energy ... -25.75 eV per cell
Total magnetization ... 0.2 Bohr magnetons per cell
Fermi-level density of states ... 7.91 states/eV/cell
Calculated formation energy ... 4.0 eV/f.u.
Symmetry ... No. 139
E above lowest polymorph ... 620.2 meV/atom

# 9
Crystalline Li3RhSe at its relaxed geometry, computed with PBE.

Cell: 4.5538 4.5538 4.5538 Å, 90.00 90.00 90.00°
Sites, in units of the cell vectors:
1 Rh 0.0000 0.0000 0.0000
2 Se 0.5000 0.5000 0.5000
3 Li 0.0000 0.5000 0.0000
4 Li 0.0000 0.0000 0.5000
5 Li 0.5000 0.0000 0.0000

Summary:
Formation energy (no corrections) ... 0.18 eV per atom
DFT total energy ... -15.70 eV per cell
Total magnetization ... 0.7 Bohr magnetons per cell
Fermi-level density of states ... 5.07 states/eV/cell
Symmetry ... No. 221
E above lowest polymorph ... 194.6 meV/atom

# 10
Crystalline Re2HgOs at its relaxed geometry, computed with PBE.

Cell: 5.9285 5.9285 5.9285 Å, 152.95 133.75 54.41°
Sites, in units of the cell vectors:
1 Hg 0.7500 0.2500 0.5000
2 Os 0.2500 0.7500 0.5000
3 Re 0.0383 0.0383 0.0000
4 Re 0.4617 0.4617 0.0000

Summary:
DFT total energy ... -33.40 eV per cell
Total magnetization ... 0.0 Bohr magnetons per cell
Fermi-level density of states ... 2.32 states/eV/cell
Calculated formation energy ... 3.0 eV/f.u.
Symmetry ... No. 71

# 11
Crystalline ScCoBr at its relaxed geometry, computed with PBE.

Cell: 4.2893 4.2893 4.2893 Å, 60.00 60.00 60.00°
Sites, in units of the cell vectors:
1 Br 0.5000 0.5000 0.5000
2 Co 0.7500 0.7500 0.7500
3 Sc 0.0000 0.0000 0.0000

Summary:
Formation energy (no corrections) ... 0.04 eV per atom
DFT total energy ... -15.00 eV per cell
Total magnetization ... 0.0 Bohr magnetons per cell
Fermi-level density of states ... 2.93 states/eV/cell
Symmetry ... No. 216

# 12
Crystalline SmZrPaO6 at its relaxed geometry, computed with PBE.

Cell: 5.1105 5.1105 10.4527 Å, 90.00 90.00 90.00°
Sites, in units of the cell vectors:
1 Sm 0.5000 0.5000 0.1652
2 Sm 0.0000 0.0000 0.6652
3 Zr 0.5000 0.5000 0.8333
4 Zr 0.0000 0.0000 0.3333
5 Pa 0.5000 0.5000 0.4999
6 Pa 0.0000 0.0000 0.9999
7 O 0.1965 0.8035 0.4869
8 O 0.8035 0.1965 0.4869
9 O 0.3035 0.3035 0.9869
10 O 0.6965 0.6965 0.9869
11 O 0.1795 0.8205 0.1705
12 O 0.8205 0.1795 0.1705
13 O 0.3205 0.3205 0.6705
14 O 0.6795 0.6795 0.6705
15 O 0.7980 0.2020 0.8434
16 O 0.2020 0.7980 0.8434
17 O 0.7020 0.7020 0.3434
18 O 0.2980 0.2980 0.3434

Summary:
Formation energy (no corrections) ... -3.47 eV per atom
DFT total energy ... -167.50 eV per cell
Total magnetization ... 0.0 Bohr magnetons per cell
Fermi-level density of states ... 0.00 states/eV/cell
Symmetry ... No. 102

Which of these has the lowest DFT total energy?
SmZrPaO6